A plane-wave DFT calculation with PBE was carried out for DyCu4Pd8 after structural relaxation.

Cell: 6.798 6.798 6.798 Å, 97.78 97.78 136.83°
Fractional positions:
Dy  0.000  0.000  0.000
Cu  0.000  0.000  0.500
Cu  0.000  0.500  0.000
Cu  0.500  0.000  0.000
Cu  0.500  0.500  0.500
Pd  0.000  0.347  0.347
Pd  0.000  0.653  0.653
Pd  0.283  0.500  0.783
Pd  0.347  0.000  0.347
Pd  0.500  0.283  0.783
Pd  0.500  0.717  0.217
Pd  0.653  0.000  0.653
Pd  0.717  0.500  0.217

Values from the calculation:
- Energy relative to the elements: -0.322 eV/atom
- Symmetry: I4/mmm (139)
- Total energy: -0.189 hartree per atom